Sr2GaSb2O7 | the Alexandria database | PBE-GGA | relaxed; ΔE_f (raw) = -1.95 eV/atom; total magnetization = 0.00 μB per formula unit; VASP energy = -6.06 eV per atom
1.0
11.118 -2.925 0.000
11.118 2.925 0.000
-1.580 0.000 5.830
Sr Ga Sb O
4 2 4 14
Direct
0.151 0.151 0.130
0.348 0.349 0.319
0.651 0.652 0.681
0.849 0.849 0.870
0.215 0.285 0.664
0.715 0.785 0.336
0.076 0.069 0.577
0.431 0.423 0.916
0.577 0.569 0.084
0.931 0.924 0.423
0.160 0.654 0.649
0.172 0.673 0.163
0.200 0.152 0.740
0.327 0.828 0.837
0.346 0.840 0.351
0.347 0.304 0.879
0.394 0.106 0.402
0.666 0.148 0.645
0.676 0.168 0.173
0.696 0.653 0.121
0.832 0.324 0.827
0.848 0.800 0.260
0.852 0.334 0.355
0.894 0.606 0.598